Entry 1:
# TlCdSb2 GGA-PBE relaxed
# ΔE_f (raw) ... 0.09 eV/atom
# Total magnetic moment ... 0.0 μB/f.u.
# Volume ... 27.85 Å³/atom
data_TlCdSb2
_symmetry_space_group_name_H-M 'C m m m'
_symmetry_Int_Tables_number 65
_symmetry_space_group_name_Hall '-C 2 2'
_cell_length_a 4.1064
_cell_length_b 5.2721
_cell_length_c 10.2912
_cell_angle_alpha 90.00
_cell_angle_beta 90.00
_cell_angle_gamma 90.00
loop_
_atom_site_label
_atom_site_fract_x
_atom_site_fract_y
_atom_site_fract_z
_atom_site_occupancy
Tl1 0.0000 0.0000 0.0000 1
Cd1 0.0000 0.0000 0.5000 1
Sb1 0.0000 0.5000 0.2755 1



Entry 2:
# TlCdSb GGA-PBE relaxed
# ΔE_f (raw) ... 0.09 eV/atom
# Total magnetic moment ... 0.0 μB/f.u.
# Volume ... 27.89 Å³/atom
data_TlCdSb
_symmetry_space_group_name_H-M 'I 4 m m'
_symmetry_Int_Tables_number 107
_symmetry_space_group_name_Hall 'I 4 -2'
_cell_length_a 3.4371
_cell_length_b 3.4371
_cell_length_c 14.1657
_cell_angle_alpha 90.00
_cell_angle_beta 90.00
_cell_angle_gamma 90.00
loop_
_atom_site_label
_atom_site_fract_x
_atom_site_fract_y
_atom_site_fract_z
_atom_site_occupancy
Tl1 0.0000 0.0000 0.0000 1
Cd1 0.0000 0.0000 0.6669 1
Sb1 0.0000 0.0000 0.3174 1



Entry 3:
# TlCdSb2 GGA-PBE relaxed
# ΔE_f (raw) ... 0.13 eV/atom
# Total magnetic moment ... 0.0 μB/f.u.
# Volume ... 30.18 Å³/atom
data_TlCdSb2
_symmetry_space_group_name_H-M 'R 3 m'
_symmetry_Int_Tables_number 160
_symmetry_space_group_name_Hall 'R 3 -2"'
_cell_length_a 4.6281
_cell_length_b 4.6281
_cell_length_c 19.5232
_cell_angle_alpha 90.00
_cell_angle_beta 90.00
_cell_angle_gamma 120.00
loop_
_atom_site_label
_atom_site_fract_x
_atom_site_fract_y
_atom_site_fract_z
_atom_site_occupancy
Tl1 0.0000 0.0000 0.0000 1
Cd1 0.0000 0.0000 0.1722 1
Sb1 0.0000 0.0000 0.5763 1
Sb2 0.0000 0.0000 0.7639 1



Entry 4:
# TlCd2Sb GGA-PBE relaxed
# ΔE_f (raw) ... 0.06 eV/atom
# Total magnetic moment ... 0.0 μB/f.u.
# Volume ... 27.80 Å³/atom
data_TlCd2Sb
_symmetry_space_group_name_H-M 'P 1 2/m 1'
_symmetry_Int_Tables_number 10
_cell_length_a 3.3608
_cell_length_b 5.3188
_cell_length_c 6.2203
_cell_angle_alpha 90.00
_cell_angle_beta 90.15
_cell_angle_gamma 90.00
loop_
_symmetry_equiv_pos_as_xyz
'x,y,z'
'-x,-y,-z'
'-x,y,-z'
'x,-y,z'
loop_
_atom_site_label
_atom_site_fract_x
_atom_site_fract_y
_atom_site_fract_z
_atom_site_occupancy
Tl1 0.0000 0.0000 0.0000 1
Cd1 0.4999 0.5000 0.2433 1
Sb1 0.5000 0.0000 0.5000 1



Entry 5:
# TlCd4Sb GGA-PBE relaxed
# ΔE_f (raw) ... 0.09 eV/atom
# Total magnetic moment ... 0.0 μB/f.u.
# Volume ... 25.59 Å³/atom
data_TlCd4Sb
_symmetry_space_group_name_H-M 'F -4 3 m'
_symmetry_Int_Tables_number 216
_symmetry_space_group_name_Hall 'F -4 2 3'
_cell_length_a 8.5005
_cell_length_b 8.5005
_cell_length_c 8.5005
_cell_angle_alpha 90.00
_cell_angle_beta 90.00
_cell_angle_gamma 90.00
loop_
_atom_site_label
_atom_site_fract_x
_atom_site_fract_y
_atom_site_fract_z
_atom_site_occupancy
Tl1 0.0000 0.0000 0.0000 1
Cd1 0.1249 0.1249 0.6249 1
Sb1 0.2500 0.2500 0.2500 1



Entry 6:
# TlCd2Sb GGA-PBE relaxed
# ΔE_f (raw) ... 0.09 eV/atom
# Total magnetic moment ... 0.0 μB/f.u.
# Volume ... 27.00 Å³/atom
data_TlCd2Sb
_symmetry_space_group_name_H-M 'I m m 2'
_symmetry_Int_Tables_number 44
_cell_length_a 3.1987
_cell_length_b 5.7491
_cell_length_c 11.7447
_cell_angle_alpha 90.00
_cell_angle_beta 90.00
_cell_angle_gamma 90.00
loop_
_symmetry_equiv_pos_as_xyz
'x,y,z'
'-x,-y,z'
'-x,y,z'
'x,-y,z'
'x+1/2,y+1/2,z+1/2'
'-x+1/2,-y+1/2,z+1/2'
'-x+1/2,y+1/2,z+1/2'
'x+1/2,-y+1/2,z+1/2'
loop_
_atom_site_label
_atom_site_fract_x
_atom_site_fract_y
_atom_site_fract_z
_atom_site_occupancy
Tl1 0.0000 0.0000 0.0000 1
Cd1 0.0000 0.0000 0.5009 1
Cd2 0.0000 0.5000 0.7736 1
Sb1 0.0000 0.5000 0.2350 1



Entry 7:
# TlCd2Sb GGA-PBE relaxed
# ΔE_f (raw) ... 0.03 eV/atom
# Total magnetic moment ... 0.0 μB/f.u.
# Volume ... 29.73 Å³/atom
data_TlCd2Sb
_symmetry_space_group_name_H-M 'R 3 m'
_symmetry_Int_Tables_number 160
_symmetry_space_group_name_Hall 'R 3 -2"'
_cell_length_a 4.7248
_cell_length_b 4.7248
_cell_length_c 18.4511
_cell_angle_alpha 90.00
_cell_angle_beta 90.00
_cell_angle_gamma 120.00
loop_
_atom_site_label
_atom_site_fract_x
_atom_site_fract_y
_atom_site_fract_z
_atom_site_occupancy
Tl1 0.0000 0.0000 0.0000 1
Cd1 0.0000 0.0000 0.2329 1
Cd2 0.0000 0.0000 0.4183 1
Sb1 0.0000 0.0000 0.8218 1



Entry 8:
# TlCdSb2 GGA-PBE relaxed
# ΔE_f (raw) ... 0.14 eV/atom
# Total magnetic moment ... 0.0 μB/f.u.
# Volume ... 36.70 Å³/atom
data_TlCdSb2
_symmetry_space_group_name_H-M 'I -4 2 d'
_symmetry_Int_Tables_number 122
_symmetry_space_group_name_Hall 'I -4 2bw'
_cell_length_a 6.6776
_cell_length_b 6.6776
_cell_length_c 13.1701
_cell_angle_alpha 90.00
_cell_angle_beta 90.00
_cell_angle_gamma 90.00
loop_
_atom_site_label
_atom_site_fract_x
_atom_site_fract_y
_atom_site_fract_z
_atom_site_occupancy
Tl1 0.0000 0.0000 0.0000 1
Cd1 0.0000 0.0000 0.5000 1
Sb1 0.2398 0.2500 0.6250 1